An optimized crystal structure of Ce3Sm2Ru2, computed with PBE.

The structure in extended XYZ format:
```
7
Lattice="3.8010 0.0000 0.0000 -1.9005 5.8496 -0.1305 0.0000 -2.9160 8.1725" Properties=species:S:1:pos:R:3 pbc="T T T"
Ce 1.9005 0.0000 0.0000
Ce 1.9005 0.1500 3.5160
Ce 0.0000 2.7836 4.5261
Sm 1.9005 3.3757 1.5307
Sm 0.0000 -0.4421 6.5113
Ru 0.0000 0.8843 1.7536
Ru 1.9005 2.0493 6.2884
```

space group: No. 12
DFT total energy: -6.7903 eV/atom

***

An optimized crystal structure of Ce2Sm5Ru5, computed with PBE.

The structure in extended XYZ format:
```
12
Lattice="-0.8282 3.4113 -1.3044 -4.1134 -4.4872 -3.7476 -6.0407 2.3719 10.0377" Properties=species:S:1:pos:R:3 pbc="T T T"
Ce -5.0238 1.6989 7.6322
Ce -5.9584 -0.4030 -2.6465
Sm -3.4344 2.8916 4.3666
Sm -2.2430 0.9289 -1.5224
Sm -4.9372 1.1376 0.7338
Sm -6.0450 0.1583 4.2519
Sm -8.7392 0.3670 6.5080
Ru -3.3186 0.3454 3.0100
Ru -6.8496 2.6086 5.7948
Ru -4.1326 -1.3127 -0.8091
Ru -7.6636 0.9505 1.9757
Ru 0.0000 0.0000 0.0000
```

space group: No. 12
DFT total energy: -7.0410 eV/atom

***

An optimized crystal structure of CeSm2Ru3, computed with PBE.

The structure in extended XYZ format:
```
6
Lattice="-4.5257 0.3309 0.4982 -0.6477 -4.9244 -2.6122 2.9101 -0.1752 5.6368" Properties=species:S:1:pos:R:3 pbc="T T T"
Ce -0.3238 -2.4622 -1.3061
Sm -2.1526 -0.6772 1.8104
Sm -0.1107 -4.0915 1.7125
Ru 0.2353 -1.7987 3.3325
Ru 0.0000 0.0000 0.0000
Ru -2.4986 -2.9700 0.1903
```

space group: No. 71
DFT total energy: -7.1661 eV/atom

***

An optimized crystal structure of CeSm2Ru3, computed with PBE.

The structure in extended XYZ format:
```
12
Lattice="4.9148 0.0000 0.0205 2.4574 7.2994 0.0103 -0.0253 0.0000 6.9614" Properties=species:S:1:pos:R:3 pbc="T T T"
Ce 2.4574 2.4220 0.0103
Ce 4.9148 4.8774 0.0205
Sm 0.0000 0.0000 0.0000
Sm -0.0126 0.0000 3.4807
Sm 2.4447 2.4191 3.4910
Sm 4.9021 4.8803 3.5012
Ru 4.8943 2.5149 5.3743
Ru 2.4513 0.0000 1.6617
Ru 2.4526 4.7845 1.6179
Ru 4.9100 2.5149 1.6281
Ru 2.4369 4.7845 5.3640
Ru 2.4382 0.0000 5.3202
```

space group: No. 65
DFT total energy: -7.4627 eV/atom

***

An optimized crystal structure of Ce2SmRu, computed with PBE.

The structure in extended XYZ format:
```
4
Lattice="-3.4327 -1.4402 -1.0349 -1.0214 -3.5537 1.1210 -5.1231 1.7077 7.4041" Properties=species:S:1:pos:R:3 pbc="T T T"
Ce -4.4621 1.0950 6.0641
Ce -2.1396 -1.0577 1.3562
Sm -4.7840 -1.6474 3.7358
Ru -2.9802 -3.3193 0.0793
```

space group: No. 160
DFT total energy: -6.5430 eV/atom

***

An optimized crystal structure of Ce2SmRu, computed with PBE.

The structure in extended XYZ format:
```
4
Lattice="-3.4686 -0.7432 0.5373 0.6040 -3.4330 -0.8494 1.5498 -1.6412 7.7351" Properties=species:S:1:pos:R:3 pbc="T T T"
Ru -1.4323 -2.0881 -0.1561
Ce 1.2546 -1.3286 6.2616
Ce 0.2952 -0.3126 1.4734
Sm -0.6574 -2.9087 3.7114
```

space group: No. 123
DFT total energy: -6.5438 eV/atom

***

An optimized crystal structure of Ce3Sm4Ru2, computed with PBE.

The structure in extended XYZ format:
```
9
Lattice="-1.6793 1.8537 2.8060 -6.4316 2.6021 -5.5683 -0.3788 -8.2607 2.7128" Properties=species:S:1:pos:R:3 pbc="T T T"
Ce -1.3594 -0.6276 -0.3990
Ce -7.1303 -3.1773 0.3495
Ce -3.2158 1.3011 -2.7841
Sm -4.7212 -1.6874 -1.7109
Sm -3.7685 -2.1175 1.6613
Sm -6.8146 1.3653 -2.4626
Sm -1.6751 -5.1702 2.4131
Ru -4.8675 -4.5195 0.0726
Ru -3.6222 0.7147 -0.1222
```

space group: No. 12
DFT total energy: -6.3087 eV/atom

***

An optimized crystal structure of Ce3SmRu3, computed with PBE.

The structure in extended XYZ format:
```
14
Lattice="8.9217 0.0000 0.0000 4.4609 7.7264 0.0000 4.4609 2.5755 5.0441" Properties=species:S:1:pos:R:3 pbc="T T T"
Ce 9.9514 8.1456 3.4245
Ce 11.0003 2.7619 3.4245
Ce 5.8134 4.5454 3.4245
Ce 12.0300 5.7565 1.6196
Ce 6.8431 7.5400 1.6196
Ce 7.8920 2.1563 1.6196
Sm 4.4609 2.5755 0.0019
Sm 13.3826 7.7264 5.0422
Ru 5.9944 4.8031 1.0468
Ru 10.6866 2.7897 1.0468
Ru 10.0841 7.8600 1.0468
Ru 7.7593 2.4419 3.9973
Ru 7.1569 7.5122 3.9973
Ru 11.8490 5.4988 3.9973
```

space group: No. 148
DFT total energy: -7.4899 eV/atom

***

An optimized crystal structure of Ce4Sm3Ru4, computed with PBE.

The structure in extended XYZ format:
```
11
Lattice="3.6597 0.0000 0.0000 0.0000 9.6069 0.0000 -1.8299 -4.8034 7.4306" Properties=species:S:1:pos:R:3 pbc="T T T"
Ce 0.0000 -1.8736 5.0051
Ce 1.8299 2.9298 2.4255
Ce 1.8299 6.6771 2.4255
Ce 0.0000 1.8736 5.0051
Sm 0.0000 0.0000 1.6525
Sm 1.8299 4.8034 5.7781
Sm 0.0000 4.8034 0.0000
Ru 0.0000 4.8034 3.1581
Ru 1.8299 0.0000 4.2726
Ru 1.8299 7.4757 0.0000
Ru 1.8299 2.1312 0.0000
```

space group: No. 71
DFT total energy: -7.1049 eV/atom

***

An optimized crystal structure of CeSmRu, computed with PBE.

The structure in extended XYZ format:
```
6
Lattice="4.3911 -0.0122 -0.0086 0.0123 4.7239 -0.4078 0.0173 0.9696 7.3073" Properties=species:S:1:pos:R:3 pbc="T T T"
Ce 0.1050 1.6883 0.0720
Ce 2.3069 3.9042 -0.2135
Sm 0.1220 4.5651 4.3624
Sm 2.3073 1.9966 2.8029
Ru 2.3122 1.7970 5.7098
Ru 0.1174 4.7651 1.4559
```

space group: No. 11
DFT total energy: -6.8583 eV/atom

***

An optimized crystal structure of CeSmRu, computed with PBE.

The structure in extended XYZ format:
```
3
Lattice="-1.0216 -2.4000 -4.2196 1.3485 -3.7016 1.7789 -4.1463 1.1747 0.3357" Properties=species:S:1:pos:R:3 pbc="T T T"
Ru -0.6536 -2.4767 0.5936
Ce -0.1701 -0.3997 -0.7027
Sm -2.9957 -2.0505 -1.9959
```

space group: No. 187
DFT total energy: -6.7660 eV/atom

***

An optimized crystal structure of Ce2SmRu3, computed with PBE.

The structure in extended XYZ format:
```
12
Lattice="-1.1579 -0.1261 -4.5845 0.5425 -4.0314 2.4141 -12.4936 0.2049 3.1499" Properties=species:S:1:pos:R:3 pbc="T T T"
Ce -6.2468 0.1025 1.5749
Ce -2.1028 -2.6955 0.6053
Ce -11.0062 -1.2570 0.3742
Ce 0.0000 0.0000 0.0000
Sm -8.3709 -2.5927 2.1856
Sm -4.7381 -1.3598 -1.2061
Ru -5.4196 -2.6411 1.4415
Ru -1.6913 -1.4098 -1.9743
Ru -9.6545 0.1584 2.4341
Ru -2.8391 0.0466 0.7158
Ru -11.4177 -2.5428 2.9537
Ru -7.6894 -1.3114 -0.4620
```

space group: No. 164
DFT total energy: -7.6833 eV/atom

***

An optimized crystal structure of Ce2Sm2Ru3, computed with PBE.

The structure in extended XYZ format:
```
7
Lattice="-3.8469 -1.3969 0.0555 0.0299 -6.0467 0.6977 -2.1802 0.2537 6.9769" Properties=species:S:1:pos:R:3 pbc="T T T"
Ce -3.5155 -2.0822 6.4950
Ce -2.4818 -5.1077 1.2351
Sm -2.4806 -4.9796 4.9097
Sm -3.5167 -2.2103 2.8204
Ru 0.0000 0.0000 0.0000
Ru -0.7135 -3.9356 2.7267
Ru -5.2838 -3.2543 5.0035
```

space group: No. 2
DFT total energy: -7.3854 eV/atom

***

An optimized crystal structure of CeSm3Ru8, computed with PBE.

The structure in extended XYZ format:
```
12
Lattice="-1.0910 -4.7904 2.1750 -1.2659 -4.1587 -3.1578 7.7590 -5.1741 -0.8673" Properties=species:S:1:pos:R:3 pbc="T T T"
Ce 0.8531 -9.7722 -1.1855
Sm 5.8989 -7.8816 -1.1270
Sm -2.3553 -8.9495 -0.9829
Sm 2.7003 -7.0614 -0.9250
Ru -0.1167 -7.2815 0.4941
Ru 3.6653 -9.5509 -2.6043
Ru 0.4286 -4.8873 -0.5930
Ru 3.1200 -11.9451 -1.5172
Ru 2.9526 -3.9416 -0.5637
Ru 5.6532 -11.0031 -1.4887
Ru -0.2041 -6.9658 -2.1713
Ru 3.7526 -9.8666 0.0610
```

space group: No. 160
DFT total energy: -8.0786 eV/atom

***

An optimized crystal structure of CeSmRu4, computed with PBE.

The structure in extended XYZ format:
```
6
Lattice="5.3769 0.0000 0.0000 2.6885 4.6566 0.0000 2.6885 1.5522 4.3903" Properties=species:S:1:pos:R:3 pbc="T T T"
Ru 5.3769 3.1044 0.5484
Ru 5.3769 1.5519 2.7440
Ru 6.7215 3.8806 2.7440
Ru 4.0324 3.8806 2.7440
Ce 0.0000 0.0000 0.0000
Sm 2.6885 1.5522 1.0976
```

space group: No. 216
DFT total energy: -8.1976 eV/atom

***

An optimized crystal structure of Ce2SmRu, computed with PBE.

The structure in extended XYZ format:
```
4
Lattice="-1.3545 -4.2546 -3.2282 -1.0952 -4.9153 2.2356 -4.4499 -2.1170 -0.0449" Properties=species:S:1:pos:R:3 pbc="T T T"
Ru 0.0000 0.0000 0.0000
Ce -1.9471 -2.7642 -0.2419
Ce -4.9525 -8.5226 -0.7956
Sm -3.4498 -5.6434 -0.5187
```

space group: No. 166
DFT total energy: -6.3733 eV/atom

***

An optimized crystal structure of Ce2Sm3Ru2, computed with PBE.

The structure in extended XYZ format:
```
7
Lattice="3.7221 0.0006 -0.8340 -2.2989 5.6416 -1.5457 0.0555 0.3578 8.9548" Properties=species:S:1:pos:R:3 pbc="T T T"
Ce 1.3561 2.9348 6.0337
Ce 0.1226 3.0652 0.5413
Sm 1.8611 0.0003 -0.4170
Sm -1.1001 4.8038 3.7996
Sm 2.5788 1.1962 2.7755
Ru -1.7759 4.7688 0.7787
Ru 3.2546 1.2312 5.7964
```

space group: No. 12
DFT total energy: -6.6335 eV/atom

***

An optimized crystal structure of Ce3SmRu2, computed with PBE.

The structure in extended XYZ format:
```
12
Lattice="-0.3016 -1.7530 4.3506 4.6104 -5.4677 -4.4223 4.0529 6.7280 2.9919" Properties=species:S:1:pos:R:3 pbc="T T T"
Ce 5.3913 0.6872 0.6507
Ce 6.0542 -2.5357 1.9369
Ce 3.7768 2.2653 3.7135
Ce 4.5849 -2.7580 -0.7934
Ce 2.3075 2.0430 0.9832
Ce 2.9704 -1.1799 2.2694
Sm 7.3217 0.7274 3.3396
Sm 1.0400 -1.2201 -0.4195
Ru 7.4846 -0.6620 0.2522
Ru 0.8771 0.1693 2.6679
Ru 2.6869 -3.3703 1.3672
Ru 5.6748 2.8776 1.5529
```

space group: No. 12
DFT total energy: -7.0725 eV/atom

***

An optimized crystal structure of CeSmTlRu, computed with PBE.

The structure in extended XYZ format:
```
4
Lattice="5.1944 0.0000 0.0000 2.5972 4.4985 0.0000 2.5972 1.4995 4.2412" Properties=species:S:1:pos:R:3 pbc="T T T"
Ru 2.5972 1.4995 1.0603
Tl 7.7916 4.4985 3.1809
Ce 5.1944 2.9990 2.1206
Sm 0.0000 0.0000 0.0000
```

space group: No. 216
DFT total energy: -5.6974 eV/atom

***

An optimized crystal structure of CeSmTlRu, computed with PBE.

The structure in extended XYZ format:
```
4
Lattice="-0.0905 -2.6977 2.0950 1.9427 -1.7643 -2.1881 7.0002 2.8237 3.9383" Properties=species:S:1:pos:R:3 pbc="T T T"
Ce 3.5129 -1.1876 1.4088
Sm 6.3703 -0.0350 3.0163
Tl 0.5069 0.2045 0.2852
Ru 3.9554 1.5955 2.2253
```

space group: No. 99
DFT total energy: -5.9018 eV/atom

***

An optimized crystal structure of CeSmZnRu, computed with PBE.

The structure in extended XYZ format:
```
4
Lattice="5.0028 0.0000 0.0000 2.5014 4.3326 0.0000 2.5014 1.4442 4.0848" Properties=species:S:1:pos:R:3 pbc="T T T"
Ru 7.5043 4.3326 3.0636
Zn 2.5014 1.4442 1.0212
Ce 5.0028 2.8884 2.0424
Sm 0.0000 0.0000 0.0000
```

space group: No. 216
DFT total energy: -5.5504 eV/atom

***

An optimized crystal structure of Ce3Sn2Ru, computed with PBE.

The structure in extended XYZ format:
```
12
Lattice="-0.8381 -2.5534 -7.3250 -5.5548 -2.7839 -2.5495 -2.6980 6.4967 -3.6515" Properties=species:S:1:pos:R:3 pbc="T T T"
Ce -5.9571 2.0456 -7.7603
Ce -0.7615 0.3981 -2.9746
Ce -3.1338 -0.8862 -5.7657
Ce -4.9037 -2.5594 -9.1354
Ce -4.1872 3.7188 -4.3906
Ce -2.7746 3.5452 -8.0019
Sn 0.0000 0.0000 0.0000
Sn -1.7681 1.9717 -5.4882
Sn -5.5568 0.8597 -4.6671
Sn -3.5341 0.2997 -8.8588
Ru -3.8297 -3.4313 -6.6766
Ru -2.5632 -1.9060 -3.1978
```

space group: No. 12
DFT total energy: -6.2207 eV/atom

***

An optimized crystal structure of Ce5Sn2Ru, computed with PBE.

The structure in extended XYZ format:
```
16
Lattice="4.6906 0.0000 0.0000 0.0000 7.8662 0.0000 0.0000 0.0000 12.2223" Properties=species:S:1:pos:R:3 pbc="T T T"
Ce 0.0000 0.0000 6.1112
Ce 0.0000 3.9331 0.0000
Ce 0.0000 6.8646 2.4401
Ce 0.0000 1.0016 9.7822
Ce 0.0000 4.9347 8.5513
Ce 0.0000 2.9315 3.6710
Ce 2.3453 5.5235 5.3639
Ce 2.3453 2.3427 6.8584
Ce 2.3453 6.2758 11.4751
Ce 2.3453 1.5904 0.7472
Sn 2.3453 4.6156 2.1412
Sn 2.3453 3.2505 10.0811
Sn 2.3453 7.1836 8.2524
Sn 2.3453 0.6825 3.9699
Ru 0.0000 3.9331 6.1112
Ru 0.0000 0.0000 0.0000
```

space group: No. 55
DFT total energy: -6.3428 eV/atom

***

An optimized crystal structure of Ce3Sn2Ru, computed with PBE.

The structure in extended XYZ format:
```
24
Lattice="-1.0600 2.2042 -4.1120 -9.9326 0.2055 2.6706 1.7575 11.4026 5.6593" Properties=species:S:1:pos:R:3 pbc="T T T"
Ce -4.1480 1.2815 0.3645
Ce -5.0871 12.5308 3.8534
Ce -8.9653 6.8916 1.8302
Ce -0.2698 6.9207 2.3877
Ce -6.9511 3.7133 2.3906
Ce -2.2840 10.0990 1.8272
Ce -2.5652 4.3853 -1.1631
Ce -6.6698 9.4269 5.3809
Ce -4.1067 4.9256 2.3073
Ce -5.1283 8.8867 1.9106
Ce -10.0440 3.2689 0.1664
Ce 0.8090 10.5434 4.0515
Sn -6.4592 6.5995 3.8110
Sn -2.7759 7.2128 0.4069
Sn -1.2059 12.8998 3.0506
Sn -8.0292 0.9125 1.1672
Sn -0.0480 3.9324 0.7286
Sn -9.1870 9.8799 3.4892
Sn -5.7060 4.0884 -0.5126
Sn -3.5291 9.7239 4.7305
Ru -1.6878 1.6818 -0.0551
Ru -7.5473 12.1305 4.2730
Ru -6.6437 6.3923 0.9641
Ru -2.5913 7.4199 3.2537
```

space group: No. 62
DFT total energy: -6.4096 eV/atom